[1]
VASP calculation (GGA-PBE) on a geometry-optimized La4Sn structure.

space group	Pm-3m (221)
offset from the most stable computed form	464	meV/atom
DOS(E_F)	11.93	states/eV/f.u.
calculated total energy	-23.0	eV per cell

Lattice parameters (Å, degrees): 6.0976 6.0976 6.0976 90.00 90.00 90.00
Last column: magnetic moment on the atom in μB.
Positions (direct):
Sn 0.5000 0.5000 0.5000  -0.05
La 0.0000 0.0000 0.0000  -0.26
La 0.5000 0.0000 0.5000  -0.16
La 0.0000 0.5000 0.5000  -0.16
La 0.5000 0.5000 0.0000  -0.16

=====

[2]
VASP calculation (GGA-PBE) on a geometry-optimized La4Sn structure.

space group	Imma (74)
offset from the most stable computed form	0	meV/atom
DOS(E_F)	6.33	states/eV/f.u.
calculated total energy	-50.6	eV per cell

Lattice parameters (Å, degrees): 5.3868 7.0006 9.6226 111.33 106.25 90.00
Positions (direct):
La 0.0968 0.3468 0.1936
La 0.9032 0.6532 0.8064
La 0.5000 0.0000 0.0000
La 0.5000 0.5000 0.0000
La 0.7010 0.1804 0.4021
La 0.2990 0.8196 0.5979
La 0.2990 0.2783 0.5979
La 0.7010 0.7217 0.4021
Sn 0.8913 0.1413 0.7826
Sn 0.1087 0.8587 0.2174

=====

[3]
VASP calculation (GGA-PBE) on a geometry-optimized La3Sn structure.

space group	Imm2 (44)
offset from the most stable computed form	87	meV/atom
DOS(E_F)	4.33	states/eV/f.u.
calculated total energy	-20.4	eV per cell

Lattice parameters (Å, degrees): 3.7274 6.1221 6.7504 116.97 106.03 90.00
Positions (direct):
Sn 0.0000 0.0176 0.0000
La 0.2715 0.6072 0.5431
La 0.5000 0.4778 0.0000
La 0.7285 0.0641 0.4569

=====

[4]
VASP calculation (GGA-PBE) on a geometry-optimized La4Sn3 structure.

space group	I-43d (220)
offset from the most stable computed form	0	meV/atom
DOS(E_F)	0.84	states/eV/f.u.
calculated total energy	-74.4	eV per cell

Lattice parameters (Å, degrees): 8.4979 8.4979 8.4979 109.47 109.47 109.47
Positions (direct):
La 0.3596 0.5000 0.0000
La 0.5000 0.3596 0.5000
La 0.0000 0.0000 0.3596
La 0.6404 0.1404 0.1404
La 0.0000 0.0000 0.8596
La 0.1404 0.6404 0.6404
La 0.8596 0.5000 0.0000
La 0.5000 0.8596 0.5000
Sn 0.1250 0.3750 0.2500
Sn 0.6250 0.7500 0.8750
Sn 0.8750 0.2500 0.6250
Sn 0.2500 0.8750 0.1250
Sn 0.7500 0.6250 0.3750
Sn 0.3750 0.1250 0.7500

=====

[5]
VASP calculation (GGA-PBE) on a geometry-optimized La7Sn3 structure.

space group	C2/m (12)
DOS(E_F)	11.80	states/eV/f.u.
calculated total energy	-52.0	eV per cell

Lattice parameters (Å, degrees): 5.0826 7.0769 9.6820 106.36 105.22 90.00
Positions (direct):
La 0.0000 0.5000 0.0000
La 0.7988 0.8599 0.5976
La 0.2012 0.1401 0.4024
La 0.6221 0.3363 0.2441
La 0.3779 0.6637 0.7559
La 0.5854 0.8051 0.1707
La 0.4146 0.1949 0.8293
Sn 0.0000 0.0000 0.0000
Sn 0.8125 0.3495 0.6249
Sn 0.1875 0.6505 0.3751

=====

[6]
VASP calculation (GGA-PBE) on a geometry-optimized La5Sn4 structure.

space group	Pnma (62)
offset from the most stable computed form	0	meV/atom
DOS(E_F)	6.91	states/eV/f.u.
calculated total energy	-191.1	eV per cell

Lattice parameters (Å, degrees): 8.5308 8.6324 16.3072 90.00 90.00 90.00
Positions (direct):
Sn 0.7818 0.4667 0.5432
Sn 0.2818 0.0333 0.9568
Sn 0.7182 0.9667 0.4568
Sn 0.2182 0.5333 0.0432
Sn 0.2182 0.5333 0.4568
Sn 0.7182 0.9667 0.0432
Sn 0.2818 0.0333 0.5432
Sn 0.7818 0.4667 0.9568
Sn 0.1734 0.6401 0.7500
Sn 0.6734 0.8599 0.7500
Sn 0.3266 0.1401 0.2500
Sn 0.8266 0.3599 0.2500
Sn 0.9209 0.1121 0.7500
Sn 0.4209 0.3879 0.7500
Sn 0.5791 0.6121 0.2500
Sn 0.0791 0.8879 0.2500
La 0.9759 0.8186 0.8996
La 0.4759 0.6814 0.6004
La 0.5241 0.3186 0.1004
La 0.0241 0.1814 0.3996
La 0.9759 0.8186 0.6004
La 0.4759 0.6814 0.8996
La 0.5241 0.3186 0.3996
La 0.0241 0.1814 0.1004
La 0.8789 0.6610 0.3823
La 0.3789 0.8390 0.1177
La 0.6211 0.1610 0.6177
La 0.1211 0.3390 0.8823
La 0.1211 0.3390 0.6177
La 0.6211 0.1610 0.8823
La 0.3789 0.8390 0.3823
La 0.8789 0.6610 0.1177
La 0.2920 0.0046 0.7500
La 0.7920 0.4954 0.7500
La 0.2080 0.5046 0.2500
La 0.7080 0.9954 0.2500

=====

[7]
VASP calculation (GGA-PBE) on a geometry-optimized La5Sn structure.

space group	Cmmm (65)
offset from the most stable computed form	74	meV/atom
DOS(E_F)	7.26	states/eV/f.u.
calculated total energy	-29.9	eV per cell

Lattice parameters (Å, degrees): 6.0640 5.9805 6.3285 118.20 90.00 90.00
Positions (direct):
La 0.5000 0.6548 0.3095
La 0.0000 0.8460 0.6919
La 0.5000 0.0000 0.0000
La 0.0000 0.1540 0.3081
La 0.5000 0.3452 0.6905
Sn 0.0000 0.5000 0.0000

=====

[8]
VASP calculation (GGA-PBE) on a geometry-optimized La2Sn3 structure.

space group	P-1 (2)
DOS(E_F)	2.31	states/eV/f.u.
calculated total energy	-102.7	eV per cell

Lattice parameters (Å, degrees): 6.5793 8.6461 11.3976 107.18 96.78 99.91
Positions (direct):
La 0.3292 0.0324 0.7436
La 0.6708 0.9676 0.2564
La 0.9584 0.2529 0.0544
La 0.0416 0.7471 0.9456
La 0.5581 0.4316 0.3362
La 0.4419 0.5684 0.6638
La 0.1274 0.7523 0.3820
La 0.8726 0.2477 0.6180
Sn 0.0505 0.3518 0.3791
Sn 0.9495 0.6482 0.6209
Sn 0.3532 0.1647 0.4958
Sn 0.6468 0.8353 0.5042
Sn 0.4384 0.1697 0.0504
Sn 0.5616 0.8303 0.9496
Sn 0.3281 0.6009 0.1364
Sn 0.6719 0.3991 0.8636
Sn 0.2225 0.4056 0.8652
Sn 0.7775 0.5944 0.1348
Sn 0.1808 0.0404 0.2226
Sn 0.8192 0.9596 0.7774